No. 1
A relaxed Re3NiMo crystal, computed with PBEsol.

Computed properties:
- E_tot: -9.833 eV/atom
- ΔE_f: 1751 meV/atom

abc: 4.330 4.330 4.330
angles: 90.00 90.00 90.00
Space group Pm-3m (No. 221)
Inequivalent atoms, fractional coordinates:
Re  0.000  0.000  0.500 x3
Ni  0.000  0.000  0.000 x1
Mo  0.500  0.500  0.500 x1

No. 2
A relaxed CaPtAu2 crystal, computed with PBEsol.

Computed properties:
- E_tot: -4.631 eV/atom
- ΔE_f: -395 meV/atom

abc: 3.035 4.207 5.651
angles: 90.00 90.00 90.00
Space group Pmmm (No. 47)
Inequivalent atoms, fractional coordinates:
Ca  0.000  0.000  0.000 x1
Pt  0.000  0.000  0.500 x1
Au  0.500  0.500  0.260 x2

No. 3
A relaxed Li2Mn3NiO8 crystal, computed with PBEsol.

Computed properties:
- E_tot: -7.438 eV/atom
- Uncorrected formation energy: -156.9 kJ per mole of atoms

abc: 9.763 5.687 5.806
angles: 90.00 123.02 90.00
Space group C2/m (No. 12)
Inequivalent atoms, fractional coordinates:
Li  0.000  0.000  0.000 x2
Li  0.000  0.500  0.000 x2
Mn  0.000  0.000  0.500 x2
Mn  0.250  0.250  0.500 x4
Ni  0.000  0.500  0.500 x2
O  0.019  0.237  0.285 x8
O  0.235  0.000  0.706 x4
O  0.242  0.500  0.705 x4

No. 4
A relaxed BSe3O crystal, computed with PBEsol.

Computed properties:
- E_tot: -3.592 eV/atom
- Uncorrected formation energy: 113.0 kJ per mole of atoms

abc: 4.385 4.385 4.385
angles: 90.00 90.00 90.00
Space group Pm-3m (No. 221)
Inequivalent atoms, fractional coordinates:
B  0.000  0.000  0.000 x1
Se  0.000  0.500  0.500 x3
O  0.500  0.500  0.500 x1

No. 5
A relaxed LaMg2Cd crystal, computed with PBEsol.

Computed properties:
- E_tot: -2.574 eV/atom
- ΔE_f: -80 meV/atom

abc: 10.294 3.246 6.251
angles: 90.00 100.20 90.00
Space group Cm (No. 8)
Inequivalent atoms, fractional coordinates:
La  0.000  0.000  0.000 x2
Mg  0.235  0.000  0.696 x2
Mg  0.490  0.000  0.494 x2
Cd  0.255  0.500  0.278 x2

No. 6
A relaxed KPb crystal, computed with PBEsol.

Computed properties:
- E_tot: -2.610 eV/atom
- ΔE_f: -44 meV/atom

abc: 4.6458 4.6458 9.9970
angles: 90.00 90.00 120.00
Space group P-3m1 (No. 164)
Inequivalent atoms, fractional coordinates:
K  0.3333  0.6667  0.1968 x2
Pb  0.3333  0.6667  0.5727 x2

No. 7
A relaxed AlCrTe2 crystal, computed with PBEsol.

Computed properties:
- E_tot: -5.373 eV/atom
- Uncorrected formation energy: -2.6 kJ per mole of atoms

abc: 3.9883 3.9883 20.1175
angles: 90.00 90.00 120.00
Space group R-3m (No. 166, hexagonal axes)
Inequivalent atoms, fractional coordinates:
Al  0.0000  0.0000  0.0000 x3
Cr  0.0000  0.0000  0.5000 x3
Te  0.0000  0.0000  0.2440 x6

No. 8
A relaxed LaW crystal, computed with PBEsol.

Computed properties:
- E_tot: -8.908 eV/atom
- ΔE_f: 669 meV/atom

abc: 3.2112 3.2112 10.3398
angles: 90.00 90.00 120.00
Space group P-3m1 (No. 164)
Inequivalent atoms, fractional coordinates:
La  0.3333  0.6667  0.3392 x2
W  0.3333  0.6667  0.9153 x2